[1]
TaSb2As | PBE-GGA | relaxed

Cell: 4.999 4.999 3.426 Å, 90.00 90.00 90.00°
Space group P4/mmm (No. 123)
Asymmetric unit:
1 Ta 0.000 0.000 0.000 (multiplicity 1)
2 Sb 0.000 0.500 0.500 (multiplicity 2)
3 As 0.500 0.500 0.000 (multiplicity 1)

Properties
Formation energy (no corrections) in eV per atom: 0.444
Crystal system: tetragonal
Spin magnetization in μB per formula unit: 0.00
E in eV/atom: -5.743

***

[2]
Rb7ClO2F2 | PBE-GGA | relaxed

Cell: 5.677 22.637 5.699 Å, 90.00 90.00 90.00°
Space group Imm2 (No. 44)
Asymmetric unit:
1 Rb 0.000 0.000 0.000 (multiplicity 2)
2 Rb 0.000 0.122 0.449 (multiplicity 4)
3 Rb 0.000 0.236 0.946 (multiplicity 4)
4 Rb 0.000 0.379 0.448 (multiplicity 4)
5 Cl 0.000 0.500 0.886 (multiplicity 2)
6 O 0.000 0.119 0.937 (multiplicity 4)
7 F 0.000 0.250 0.446 (multiplicity 4)

Properties
Formation energy (no corrections) in eV per atom: -1.638
Crystal system: orthorhombic
Spin magnetization in μB per formula unit: 0.07
E in eV/atom: -3.494

***

[3]
TmMgFeC | PBE-GGA | relaxed

Cell: 3.578 3.578 10.116 Å, 90.00 90.00 90.00°
Space group P4/nmm (No. 129, origin choice 2)
Asymmetric unit:
1 Tm 0.250 0.250 0.210 (multiplicity 2)
2 Mg 0.250 0.750 0.500 (multiplicity 2)
3 Fe 0.250 0.750 0.000 (multiplicity 2)
4 C 0.250 0.250 0.912 (multiplicity 2)

Properties
Energy relative to the elements in meV per atom: 75.9
Crystal system: tetragonal
Spin magnetization in μB per formula unit: 0.00
E in eV/atom: -5.862

***

[4]
NaCu2NiAs | PBE-GGA | relaxed

Cell: 4.472 4.472 4.679 Å, 90.00 90.00 90.00°
Space group P4/mmm (No. 123)
Asymmetric unit:
1 Na 0.000 0.000 0.000 (multiplicity 1)
2 Cu 0.000 0.500 0.500 (multiplicity 2)
3 Ni 0.000 0.000 0.500 (multiplicity 1)
4 As 0.500 0.500 0.000 (multiplicity 1)

Properties
Energy relative to the elements in meV per atom: 809.0
Crystal system: tetragonal
Spin magnetization in μB per formula unit: 0.67
E in eV/atom: -3.179

***

[5]
InRePCl2 | PBE-GGA | relaxed

Cell: 5.052 5.052 4.592 Å, 90.00 90.00 90.00°
Space group P4/mmm (No. 123)
Asymmetric unit:
1 In 0.000 0.000 0.000 (multiplicity 1)
2 Re 0.500 0.500 0.500 (multiplicity 1)
3 P 0.500 0.500 0.000 (multiplicity 1)
4 Cl 0.000 0.500 0.500 (multiplicity 2)

Properties
ΔE to the lowest computed polymorph in kJ/mol of formula units: 0
Formation energy (no corrections) in eV per atom: 0.117
Crystal system: tetragonal
Spin magnetization in μB per formula unit: 0.93
E in eV/atom: -4.741

***

[6]
CeGa4Ni2 | PBE-GGA | relaxed

Cell: 7.639 7.639 3.980 Å, 90.00 90.00 90.00°
Space group P4_2/mnm (No. 136)
Asymmetric unit:
1 Ce 0.000 0.000 0.000 (multiplicity 2)
2 Ga 0.083 0.327 0.500 (multiplicity 8)
3 Ni 0.212 0.788 0.500 (multiplicity 4)

Properties
Energy relative to the elements in meV per atom: -411.9
ΔE to the lowest computed polymorph in kJ/mol of formula units: 76
Crystal system: tetragonal
Spin magnetization in μB per formula unit: 0.54
E in eV/atom: -4.641

***

[7]
Sr2MnHgN | PBE-GGA | relaxed

Cell: 5.558 5.558 3.801 Å, 90.00 90.00 90.00°
Space group P4/mmm (No. 123)
Asymmetric unit:
1 Sr 0.000 0.500 0.000 (multiplicity 2)
2 Mn 0.000 0.000 0.500 (multiplicity 1)
3 Hg 0.500 0.500 0.500 (multiplicity 1)
4 N 0.000 0.000 0.000 (multiplicity 1)

Properties
Formation energy (no corrections) in eV per atom: -0.438
Crystal system: tetragonal
Spin magnetization in μB per formula unit: 2.75
E in eV/atom: -4.670

***

[8]
Rb2CaTeBr6 | PBE-GGA | relaxed

Cell: 7.970 7.970 13.438 Å, 90.00 90.00 90.00°
Space group I4/mmm (No. 139)
Asymmetric unit:
1 Rb 0.000 0.500 0.250 (multiplicity 4)
2 Ca 0.000 0.000 0.000 (multiplicity 2)
3 Te 0.000 0.000 0.500 (multiplicity 2)
4 Br 0.000 0.000 0.210 (multiplicity 4)
5 Br 0.243 0.243 0.500 (multiplicity 8)

Properties
Formation energy (no corrections) in eV per atom: -1.283
Crystal system: tetragonal
Spin magnetization in μB per formula unit: 0.00
E in eV/atom: -2.994

***

[9]
NaVPb2 | PBE-GGA | relaxed

Cell: 3.3764 3.3764 33.5048 Å, 90.00 90.00 120.00°
Space group R-3m (No. 166, hexagonal axes)
Asymmetric unit:
1 Na 0.0000 0.0000 0.0000 (multiplicity 3)
2 V 0.0000 0.0000 0.5000 (multiplicity 3)
3 Pb 0.0000 0.0000 0.4161 (multiplicity 6)

Properties
Energy relative to the elements in meV per atom: 532.4
Crystal system: trigonal
Spin magnetization in μB per formula unit: 3.02
E in eV/atom: -3.931

***

[10]
Zn3AgRh2 | PBE-GGA | relaxed

Cell: 3.101 3.101 9.079 Å, 90.00 90.00 90.00°
Space group P4/mmm (No. 123)
Asymmetric unit:
1 Zn 0.000 0.000 0.000 (multiplicity 1)
2 Zn 0.000 0.000 0.313 (multiplicity 2)
3 Ag 0.500 0.500 0.500 (multiplicity 1)
4 Rh 0.500 0.500 0.164 (multiplicity 2)

Properties
Energy relative to the elements in meV per atom: -308.5
ΔE to the lowest computed polymorph in kJ/mol of formula units: 12
Crystal system: tetragonal
Spin magnetization in μB per formula unit: 0.00
E in eV/atom: -3.871

***

[11]
Er6Tm8Zr | PBE-GGA | relaxed

Cell: 8.8860 8.8860 20.0564 Å, 90.00 90.00 120.00°
Space group R-3 (No. 148, hexagonal axes)
Asymmetric unit:
1 Er 0.0793 0.5796 0.3742 (multiplicity 18)
2 Tm 0.0000 0.0000 0.4241 (multiplicity 6)
3 Tm 0.0845 0.5324 0.8069 (multiplicity 18)
4 Zr 0.0000 0.0000 0.0000 (multiplicity 3)

Properties
Energy relative to the elements in meV per atom: 125.3
ΔE to the lowest computed polymorph in kJ/mol of formula units: 0
Crystal system: trigonal
Spin magnetization in μB per formula unit: 0.00
E in eV/atom: -4.654

***

[12]
UBiPd | PBE-GGA | relaxed

Cell: 3.8814 3.8814 33.1957 Å, 90.00 90.00 120.00°
Space group R-3m (No. 166, hexagonal axes)
Asymmetric unit:
1 U 0.0000 0.0000 0.1865 (multiplicity 6)
2 Bi 0.0000 0.0000 0.3735 (multiplicity 6)
3 Pd 0.0000 0.0000 0.0922 (multiplicity 6)

Properties
Energy relative to the elements in meV per atom: -88.5
Crystal system: trigonal
Spin magnetization in μB per formula unit: 0.00
E in eV/atom: -6.876

***

[13]
Dy4MgAl12 | PBE-GGA | relaxed

Cell: 8.794 8.794 8.794 Å, 90.00 90.00 90.00°
Space group Im-3m (No. 229)
Asymmetric unit:
1 Dy 0.250 0.250 0.250 (multiplicity 8)
2 Mg 0.000 0.000 0.000 (multiplicity 2)
3 Al 0.000 0.000 0.314 (multiplicity 12)
4 Al 0.000 0.250 0.500 (multiplicity 12)

Properties
Energy relative to the elements in meV per atom: -360.6
Crystal system: cubic
Spin magnetization in μB per formula unit: 0.00
E in eV/atom: -4.179